--- P ---
Compound: Li4Ac3Si4
Source: Alexandria
Functional: PBE
Structure: optimized geometry Values from VASP.

Structure (Quantum ESPRESSO input):
```
&SYSTEM
  ibrav = 0, nat = 11, ntyp = 3
/
ATOMIC_SPECIES
Li 6.94 Li.upf
Ac 227.00 Ac.upf
Si 28.09 Si.upf
ATOMIC_POSITIONS crystal
Li 0.018 0.830 0.188
Li 0.358 0.170 0.188
Li 0.642 0.830 0.812
Li 0.982 0.170 0.812
Ac 0.000 0.500 0.500
Ac 0.366 0.366 0.000
Ac 0.634 0.634 0.000
Si 0.212 0.712 0.500
Si 0.329 0.000 0.329
Si 0.671 0.000 0.671
Si 0.788 0.288 0.500
CELL_PARAMETERS angstrom
-2.316 3.527 7.688
2.316 -3.527 7.688
2.316 3.527 -7.688
```

***

--- Q ---
Compound: Li4Ac3Si4
Source: Alexandria
Functional: PBE
Structure: optimized geometry Values from VASP.

Structure (Quantum ESPRESSO input):
```
&SYSTEM
  ibrav = 0, nat = 11, ntyp = 3
/
ATOMIC_SPECIES
Li 6.94 Li.upf
Ac 227.00 Ac.upf
Si 28.09 Si.upf
ATOMIC_POSITIONS crystal
Li 0.098 0.098 0.000
Li 0.250 0.750 0.500
Li 0.750 0.250 0.500
Li 0.902 0.902 0.000
Ac 0.000 0.500 0.500
Ac 0.346 0.346 0.000
Ac 0.654 0.654 0.000
Si 0.195 0.195 0.000
Si 0.453 0.953 0.500
Si 0.547 0.047 0.500
Si 0.805 0.805 0.000
CELL_PARAMETERS angstrom
-2.215 2.249 12.780
2.215 -2.249 12.780
2.215 2.249 -12.780
```

***

What are the relative energies? In kJ/mol of atoms: P 0.0; Q 5.2.

***

--- P ---
Compound: LiAc2Si3
Source: Alexandria
Functional: PBE
Structure: optimized geometry Values from VASP.

Structure (Quantum ESPRESSO input):
```
&SYSTEM
  ibrav = 0, nat = 6, ntyp = 3
/
ATOMIC_SPECIES
Li 6.94 Li.upf
Ac 227.00 Ac.upf
Si 28.09 Si.upf
ATOMIC_POSITIONS crystal
Li 0.000 0.000 0.000
Ac 0.000 0.500 0.336
Ac 0.500 0.500 0.821
Si 0.000 0.000 0.656
Si 0.500 0.000 0.167
Si 0.500 0.000 0.490
CELL_PARAMETERS angstrom
4.312 0.000 0.000
0.000 4.557 0.000
0.000 0.000 7.376
```

***

--- Q ---
Compound: LiAc2Si3
Source: Alexandria
Functional: PBE
Structure: optimized geometry Values from VASP.

Structure (Quantum ESPRESSO input):
```
&SYSTEM
  ibrav = 0, nat = 12, ntyp = 3
/
ATOMIC_SPECIES
Li 6.94 Li.upf
Ac 227.00 Ac.upf
Si 28.09 Si.upf
ATOMIC_POSITIONS crystal
Li 0.166 0.166 0.834
Li 0.834 0.834 0.166
Ac 0.250 0.250 0.250
Ac 0.255 0.745 0.255
Ac 0.745 0.255 0.745
Ac 0.750 0.750 0.750
Si 0.171 0.665 0.829
Si 0.335 0.829 0.665
Si 0.336 0.336 0.664
Si 0.664 0.664 0.336
Si 0.665 0.171 0.335
Si 0.829 0.335 0.171
CELL_PARAMETERS angstrom
0.000 4.558 7.381
4.284 0.000 7.381
4.284 4.558 0.000
```

***

What are the relative energies? In kJ/mol of atoms: P 3.7; Q 0.0.